[1]
The following is a PBE calculation of YHoCoAg after structural relaxation, from the Alexandria database. Values from VASP.

SG = No. 216
total energy = -21.73 eV per cell
energy of formation = -0.183 eV/atom
M_tot = 0.409 μB per formula unit

Cell and atoms, written as Quantum ESPRESSO input:
```
&SYSTEM
  ibrav = 0, nat = 4, ntyp = 4
/
ATOMIC_SPECIES
Y 88.91 Y.upf
Co 58.93 Co.upf
Ho 164.93 Ho.upf
Ag 107.87 Ag.upf
ATOMIC_POSITIONS crystal
Y 0.0000 0.0000 0.0000
Co 0.2500 0.2500 0.2500
Ho 0.5000 0.5000 0.5000
Ag 0.7500 0.7500 0.7500
CELL_PARAMETERS angstrom
4.9383 0.0000 0.0000
2.4692 4.2767 0.0000
2.4692 1.4256 4.0321
```

[2]
The following is a PBE calculation of PuPaPt6 after structural relaxation, from the Alexandria database. Values from VASP.

SG = No. 123
total energy = -67.10 eV per cell
energy of formation = -0.878 eV/atom
M_tot = 5.185 μB per formula unit

Cell and atoms, written as Quantum ESPRESSO input:
```
&SYSTEM
  ibrav = 0, nat = 8, ntyp = 3
/
ATOMIC_SPECIES
Pu 244.00 Pu.upf
Pa 231.04 Pa.upf
Pt 195.08 Pt.upf
ATOMIC_POSITIONS crystal
Pu 0.0000 0.0000 0.5000
Pa 0.0000 0.0000 0.0000
Pt 0.5000 0.5000 0.0000
Pt 0.5000 0.5000 0.5000
Pt 0.5000 0.0000 0.2422
Pt 0.5000 0.0000 0.7578
Pt 0.0000 0.5000 0.2422
Pt 0.0000 0.5000 0.7578
CELL_PARAMETERS angstrom
4.1685 0.0000 0.0000
0.0000 4.1685 0.0000
0.0000 0.0000 8.3497
```